No. 1
A plane-wave DFT calculation with GGA-PBE was carried out for Li2Pr2NdSn2 after structural relaxation.

Summary:
final energy: -0.310 Ry per atom
mass density: 5.9 Mg/m³
M_tot: 0.00 μB/cell
E_form: -479 meV per atom

a b c (Å): 4.861 4.861 9.733
angles (deg): 75.54 75.54 60.00
Positions (direct):
Nd 0.000 0.000 0.000
Pr 0.871 0.871 0.388
Pr 0.129 0.129 0.612
Li 0.400 0.400 0.799
Li 0.600 0.600 0.201
Sn 0.735 0.735 0.794
Sn 0.265 0.265 0.206

***

No. 2
A plane-wave DFT calculation with GGA-PBE was carried out for Li2PrNdSn2 after structural relaxation.

Summary:
final energy: -0.310 Ry per atom
mass density: 5.8 Mg/m³
M_tot: 0.00 μB/cell
E_form: -660 meV per atom

a b c (Å): 4.788 4.788 7.738
angles (deg): 90.00 90.00 120.00
Positions (direct):
Sn 0.667 0.333 0.747
Sn 0.333 0.667 0.253
Pr 0.000 0.000 0.000
Li 0.667 0.333 0.257
Li 0.333 0.667 0.743
Nd 0.000 0.000 0.500

***

No. 3
A plane-wave DFT calculation with GGA-PBE was carried out for LiTbPrNd after structural relaxation.

Summary:
final energy: -0.284 Ry per atom
mass density: 6.0 Mg/m³
M_tot: 0.00 μB/cell
E_form: 162 meV per atom

a b c (Å): 5.620 5.620 5.620
angles (deg): 60.00 60.00 60.00
Positions (direct):
Tb 0.500 0.500 0.500
Nd 0.250 0.250 0.250
Li 0.000 0.000 0.000
Pr 0.750 0.750 0.750

***

No. 4
A plane-wave DFT calculation with GGA-PBE was carried out for LiPrNdTc after structural relaxation.

Summary:
final energy: -0.395 Ry per atom
mass density: 6.9 Mg/m³
M_tot: 0.00 μB/cell
E_form: 83 meV per atom

a b c (Å): 5.091 5.091 5.091
angles (deg): 60.00 60.00 60.00
Positions (direct):
Li 0.000 0.000 0.000
Tc 0.500 0.500 0.500
Nd 0.250 0.250 0.250
Pr 0.750 0.750 0.750

***

No. 5
A plane-wave DFT calculation with GGA-PBE was carried out for LiPr2NdTe5 after structural relaxation.

Summary:
final energy: -0.359 Ry per atom
mass density: 6.3 Mg/m³
M_tot: 0.00 μB/cell
ΔE_f (raw): -1332.4 meV per atom

a b c (Å): 4.470 9.752 13.381
angles (deg): 90.00 90.00 103.25
Positions (direct):
Te 0.314 0.629 0.341
Te 0.284 0.568 0.671
Te 0.716 0.432 0.171
Te 0.047 0.093 0.073
Te 0.686 0.371 0.841
Te 0.953 0.907 0.573
Te 0.501 0.003 0.282
Te 0.634 0.269 0.498
Te 0.366 0.731 0.998
Te 0.499 0.997 0.782
Li 0.554 0.108 0.965
Li 0.446 0.892 0.465
Pr 0.894 0.788 0.185
Pr 0.125 0.250 0.302
Pr 0.106 0.212 0.685
Pr 0.875 0.750 0.802
Nd 0.199 0.399 0.007
Nd 0.801 0.601 0.507

***

No. 6
A plane-wave DFT calculation with GGA-PBE was carried out for LiPrNd2Te5 after structural relaxation.

Summary:
final energy: -0.357 Ry per atom
mass density: 6.3 Mg/m³
M_tot: 0.00 μB/cell
ΔE_f (raw): -1313.6 meV per atom

a b c (Å): 4.458 9.732 13.379
angles (deg): 90.00 90.00 103.24
Positions (direct):
Te 0.498 0.997 0.782
Te 0.684 0.369 0.839
Te 0.316 0.631 0.339
Te 0.954 0.908 0.575
Te 0.716 0.432 0.173
Te 0.633 0.266 0.498
Te 0.046 0.092 0.075
Te 0.367 0.734 0.998
Te 0.502 0.003 0.282
Te 0.284 0.568 0.673
Pr 0.200 0.399 0.006
Pr 0.800 0.601 0.506
Li 0.552 0.105 0.966
Li 0.448 0.895 0.466
Nd 0.106 0.211 0.685
Nd 0.875 0.750 0.801
Nd 0.125 0.250 0.301
Nd 0.894 0.789 0.185

***

No. 7
A plane-wave DFT calculation with GGA-PBE was carried out for LiPrNdTe3 after structural relaxation.

Summary:
final energy: -0.353 Ry per atom
mass density: 6.0 Mg/m³
M_tot: 0.00 μB/cell
ΔE_f (raw): -1316.4 meV per atom

a b c (Å): 4.338 9.225 9.651
angles (deg): 103.12 90.00 90.00
Positions (direct):
Te 0.250 0.089 0.874
Te 0.250 0.575 0.820
Te 0.750 0.911 0.126
Te 0.250 0.776 0.503
Te 0.750 0.224 0.497
Te 0.750 0.425 0.180
Pr 0.250 0.185 0.229
Pr 0.750 0.815 0.771
Li 0.250 0.084 0.586
Li 0.750 0.916 0.414
Nd 0.250 0.666 0.160
Nd 0.750 0.334 0.840

***

No. 8
A plane-wave DFT calculation with GGA-PBE was carried out for LiPr4Nd3Te8 after structural relaxation.

Summary:
final energy: -0.381 Ry per atom
mass density: 6.5 Mg/m³
M_tot: 0.00 μB/cell
ΔE_f (raw): -1408.0 meV per atom

a b c (Å): 8.992 8.997 8.992
angles (deg): 119.98 120.00 90.00
Positions (direct):
Te 0.758 0.260 0.002
Te 0.242 0.740 0.998
Te 0.756 0.740 0.998
Te 0.244 0.260 0.002
Te 0.758 0.260 0.516
Te 0.749 0.748 0.498
Te 0.251 0.252 0.502
Te 0.242 0.740 0.484
Li 0.000 0.500 0.000
Nd 0.500 0.500 0.000
Nd 0.000 0.500 0.500
Nd 0.500 0.500 0.500
Pr 0.000 0.000 0.000
Pr 0.500 0.000 0.000
Pr 0.500 0.000 0.500
Pr 0.000 0.000 0.500